A plane-wave DFT calculation with GGA-PBE was carried out for crystalline PrDy3F at its relaxed geometry.

Results
The value obtained for the energy relative to the elements, uncorrected is -89 kJ/mol of atoms. The total energy is -0.3687 Ry per atom.

Lattice parameters (Å, degrees): 5.085 5.085 5.085 90.00 90.00 90.00
Space group Pm-3m (No. 221)
Asymmetric unit:
1 Pr 0.000 0.000 0.000
2 Dy 0.000 0.500 0.500
3 F 0.500 0.500 0.500

***

A plane-wave DFT calculation with GGA-PBE was carried out for crystalline Be2AsCl at its relaxed geometry.

Results
The value obtained for the energy relative to the elements, uncorrected is 24 kJ/mol of atoms. The total energy is -0.2378 Ry per atom. The calculation puts the offset from the most stable computed form at 666 meV per atom.

Lattice parameters (Å, degrees): 3.410 5.832 6.551 90.00 90.00 90.00
Space group Cmmm (No. 65)
Asymmetric unit:
1 Be 0.000 0.000 0.219
2 As 0.000 0.500 0.000
3 Cl 0.000 0.500 0.500

***

A plane-wave DFT calculation with GGA-PBE was carried out for crystalline TbGa4Ir2Ru at its relaxed geometry.

Results
The total energy is -0.4421 Ry per atom. The energy of formation from the pure elements is -0.55 eV/atom.

Lattice parameters (Å, degrees): 4.2572 4.2572 25.4042 90.00 90.00 120.00
Space group R-3m (No. 166, hexagonal axes)
Asymmetric unit:
1 Tb 0.0000 0.0000 0.0000
2 Ga 0.0000 0.0000 0.1322
3 Ga 0.0000 0.0000 0.3993
4 Ir 0.0000 0.0000 0.2411
5 Ru 0.0000 0.0000 0.5000

***

A plane-wave DFT calculation with GGA-PBE was carried out for crystalline KPrTe2O8 at its relaxed geometry.

Results
The value obtained for the energy relative to the elements, uncorrected is -153 kJ/mol of atoms. The total energy is -0.4337 Ry per atom.

Lattice parameters (Å, degrees): 5.529 5.529 12.020 90.00 90.00 90.00
Space group I-4 (No. 82)
Asymmetric unit:
1 K 0.000 0.000 0.000
2 Pr 0.000 0.500 0.750
3 Te 0.000 0.000 0.500
4 Te 0.000 0.500 0.250
5 O 0.136 0.241 0.587
6 O 0.169 0.735 0.173

***

A plane-wave DFT calculation with GGA-PBE was carried out for crystalline HoErThAl at its relaxed geometry.

Results
The total energy is -0.3750 Ry per atom. The energy of formation from the pure elements is -0.03 eV/atom.

Lattice parameters (Å, degrees): 7.572 7.572 7.572 90.00 90.00 90.00
Space group F-43m (No. 216)
Asymmetric unit:
1 Ho 0.000 0.000 0.000
2 Er 0.250 0.250 0.250
3 Th 0.250 0.250 0.750
4 Al 0.000 0.000 0.500

***

A plane-wave DFT calculation with GGA-PBE was carried out for crystalline BaSr2As at its relaxed geometry.

Results
The total energy is -0.2285 Ry per atom. The energy of formation from the pure elements is -0.63 eV/atom.

Lattice parameters (Å, degrees): 4.5660 4.5660 33.3856 90.00 90.00 120.00
Space group R-3m (No. 166, hexagonal axes)
Asymmetric unit:
1 Ba 0.0000 0.0000 0.0000
2 Sr 0.0000 0.0000 0.2148
3 As 0.0000 0.0000 0.5000

***

A plane-wave DFT calculation with GGA-PBE was carried out for crystalline PuVIr2 at its relaxed geometry.

Results
The total energy is -0.7870 Ry per atom. The energy of formation from the pure elements is -0.41 eV/atom. The calculation puts the offset from the most stable computed form at 0 meV per atom.

Lattice parameters (Å, degrees): 2.936 2.936 7.683 90.00 90.00 90.00
Space group P4/mmm (No. 123)
Asymmetric unit:
1 Pu 0.000 0.000 0.000
2 V 0.000 0.000 0.500
3 Ir 0.500 0.500 0.295

***

A plane-wave DFT calculation with GGA-PBE was carried out for crystalline Pd at its relaxed geometry.

Results
The total energy is -0.3697 Ry per atom. The energy of formation from the pure elements is 0.16 eV/atom. The calculation puts the offset from the most stable computed form at 163 meV per atom.

Lattice parameters (Å, degrees): 8.232 8.232 3.894 90.00 90.00 90.00
Space group I4/mmm (No. 139)
Asymmetric unit:
1 Pd 0.000 0.327 0.000
2 Pd 0.162 0.162 0.500